(1)
A plane-wave DFT calculation with PBE was carried out for an optimized crystal structure of NaCa2Pr.

a b c (Å): 4.2255 4.2255 8.6240
angles (deg): 90.00 90.00 90.00
With the nearest neighbours (Å) after each atom.
Fractional positions:
Na  0.0000  0.0000  0.0000  8 Ca 3.68
Ca  0.5000  0.5000  0.2488  4 Na 3.68, 4 Pr 3.69
Ca  0.5000  0.5000  0.7512  4 Na 3.68, 4 Pr 3.69
Pr  0.0000  0.0000  0.5000  8 Ca 3.69

Summary:
V ... 38.5 A^3/atom
Formation enthalpy at 0 K ... 0.0913 eV/atom
Magnetic moment ... 0.0000 μB/atom
DOS at the Fermi energy ... 2.8 states/eV/cell
Space-group type ... No. 123

=====

(2)
A plane-wave DFT calculation with PBE was carried out for an optimized crystal structure of Na2CaPr.

a b c (Å): 6.1899 6.1899 3.8012
angles (deg): 90.00 90.00 90.00
With the nearest neighbours (Å) after each atom.
Fractional positions:
Na  0.0000  0.5000  0.0000  4 Pr 3.63, 4 Ca 3.63, 2 Na 3.80
Na  0.5000  0.0000  0.0000  4 Pr 3.63, 4 Ca 3.63, 2 Na 3.80
Ca  0.0000  0.0000  0.5000  8 Na 3.63, 2 Ca 3.80
Pr  0.5000  0.5000  0.5000  8 Na 3.63, 2 Pr 3.80

Summary:
V ... 36.4 A^3/atom
Formation enthalpy at 0 K ... 0.2352 eV/atom
Magnetic moment ... 0.0000 μB/atom
DOS at the Fermi energy ... 4.5 states/eV/cell
Space-group type ... No. 123

=====

(3)
A plane-wave DFT calculation with PBE was carried out for an optimized crystal structure of NaCa3Pr2S6.

a b c (Å): 9.1049 9.1049 8.1862
angles (deg): 103.14 103.14 25.82
With the nearest neighbours (Å) after each atom.
Fractional positions:
Na  0.0000  0.0000  0.0000  6 S 2.93-2.94
Ca  0.0000  0.0000  0.5000  6 S 2.84-2.89
Ca  0.3370  0.3370  0.1646  6 S 2.82-2.89
Ca  0.6630  0.6630  0.8354  6 S 2.82-2.89
Pr  0.3372  0.3372  0.6727  6 S 2.81-2.94
Pr  0.6628  0.6628  0.3273  6 S 2.81-2.94
S  0.1672  0.1672  0.5861  3 Ca 2.89, 3 Pr 2.92-2.94
S  0.1706  0.1706  0.0828  3 Ca 2.85-2.87, 2 Pr 2.88, 1 Na 2.94
S  0.5002  0.5002  0.2585  1 Pr 2.81, 3 Ca 2.82-2.84, 2 Na 2.93
S  0.4998  0.4998  0.7415  1 Pr 2.81, 3 Ca 2.82-2.84, 2 Na 2.93
S  0.8294  0.8294  0.9172  3 Ca 2.85-2.87, 2 Pr 2.88, 1 Na 2.94
S  0.8328  0.8328  0.4139  3 Ca 2.89, 3 Pr 2.92-2.94

Summary:
V ... 24.0 A^3/atom
DFT total energy ... -0.40069 Ry/atom
Magnetic moment ... 0.0000 μB/atom
DOS at the Fermi energy ... 2.9 states/eV/cell
Space-group type ... No. 12

=====

(4)
A plane-wave DFT calculation with PBE was carried out for an optimized crystal structure of NaCa2PrS4.

a b c (Å): 7.0084 4.1047 7.0418
angles (deg): 90.00 108.68 90.00
With the nearest neighbours (Å) after each atom.
Fractional positions:
Na  0.0000  0.0000  0.0000  6 S 2.87-2.95
Ca  0.0000  0.5000  0.5000  6 S 2.86-2.90
Ca  0.5000  0.0000  0.5000  6 S 2.83-2.85
Pr  0.5000  0.5000  0.0000  6 S 2.85-2.89
S  0.2527  0.0000  0.7493  3 Ca 2.83-2.90, 1 Na 2.87, 2 Pr 2.89
S  0.2599  0.5000  0.2586  3 Ca 2.85-2.86, 1 Pr 2.85, 2 Na 2.95
S  0.7401  0.5000  0.7414  3 Ca 2.85-2.86, 1 Pr 2.85, 2 Na 2.95
S  0.7473  0.0000  0.2507  3 Ca 2.83-2.90, 1 Na 2.87, 2 Pr 2.89

Summary:
V ... 24.0 A^3/atom
DFT total energy ... -0.38725 Ry/atom
Magnetic moment ... 0.0000 μB/atom
DOS at the Fermi energy ... 0.0 states/eV/cell
Space-group type ... No. 10

=====

(5)
A plane-wave DFT calculation with PBE was carried out for an optimized crystal structure of NaCaPrSi.

a b c (Å): 5.2874 5.2874 5.2874
angles (deg): 60.00 60.00 60.00
With the nearest neighbours (Å) after each atom.
Fractional positions:
Na  0.0000  0.0000  0.0000  4 Pr 3.24, 4 Ca 3.24
Ca  0.2500  0.2500  0.2500  4 Na 3.24, 4 Si 3.24
Pr  0.7500  0.7500  0.7500  4 Na 3.24, 4 Si 3.24
Si  0.5000  0.5000  0.5000  4 Pr 3.24, 4 Ca 3.24

Summary:
V ... 26.1 A^3/atom
DFT total energy ... -0.26032 Ry/atom
Magnetic moment ... 0.0000 μB/atom
DOS at the Fermi energy ... 2.5 states/eV/cell
Space-group type ... No. 216

=====

(6)
A plane-wave DFT calculation with PBE was carried out for an optimized crystal structure of NaCa3Pr4Te8.

a b c (Å): 9.1249 9.1249 9.1249
angles (deg): 58.97 58.97 58.97
With the nearest neighbours (Å) after each atom.
Fractional positions:
Na  0.0000  0.0000  0.0000  6 Te 3.18
Ca  0.0000  0.5000  0.5000  6 Te 3.17-3.18
Ca  0.5000  0.0000  0.5000  6 Te 3.17-3.18
Ca  0.5000  0.5000  0.0000  6 Te 3.17-3.18
Pr  0.0000  0.0000  0.5000  6 Te 3.22-3.23
Pr  0.0000  0.5000  0.0000  6 Te 3.22-3.23
Pr  0.5000  0.0000  0.0000  6 Te 3.22-3.23
Pr  0.5000  0.5000  0.5000  6 Te 3.22
Te  0.2487  0.2487  0.7479  2 Ca 3.18, 1 Na 3.18, 3 Pr 3.22
Te  0.2487  0.7479  0.2487  2 Ca 3.18, 1 Na 3.18, 3 Pr 3.22
Te  0.2522  0.2522  0.2522  3 Ca 3.17, 3 Pr 3.23
Te  0.2521  0.7513  0.7513  2 Ca 3.18, 1 Na 3.18, 3 Pr 3.22
Te  0.7479  0.2487  0.2487  2 Ca 3.18, 1 Na 3.18, 3 Pr 3.22
Te  0.7478  0.7478  0.7478  3 Ca 3.17, 3 Pr 3.23
Te  0.7513  0.2521  0.7513  2 Ca 3.18, 1 Na 3.18, 3 Pr 3.22
Te  0.7513  0.7513  0.2521  2 Ca 3.18, 1 Na 3.18, 3 Pr 3.22

Summary:
V ... 32.8 A^3/atom
DFT total energy ... -0.34586 Ry/atom
Magnetic moment ... 0.0000 μB/atom
DOS at the Fermi energy ... 5.7 states/eV/cell
Space-group type ... No. 166

=====

- What is the magnetic moment in the fourth record?
  0.0000 μB/atom